1.
DFT (GGA-PBEsol) results for NbGaGe2Bi after structural relaxation.

```
5
Lattice="5.2766 0.0000 0.0000 0.0000 5.2766 0.0000 0.0000 0.0000 5.2624" Properties=species:S:1:pos:R:3 pbc="T T T"
Nb 0.0000 0.0000 0.0000
Ga 2.6383 2.6383 0.0000
Ge 0.0000 2.6383 2.6312
Ge 2.6383 0.0000 2.6312
Bi 2.6383 2.6383 2.6312
```

Properties
Its energy of formation is 1.65 eV/atom.

=====

2.
DFT (GGA-PBEsol) results for HfZr2GaBi after structural relaxation.

```
5
Lattice="4.9606 0.0000 0.0000 0.0000 4.9606 0.0000 0.0000 0.0000 5.1619" Properties=species:S:1:pos:R:3 pbc="T T T"
Hf 0.0000 0.0000 0.0000
Zr 0.0000 2.4803 2.5809
Zr 2.4803 0.0000 2.5809
Ga 2.4803 2.4803 2.5809
Bi 2.4803 2.4803 0.0000
```

Properties
Its energy of formation is 0.67 eV/atom.

=====

3.
DFT (GGA-PBEsol) results for Ga3HgBi after structural relaxation.

```
5
Lattice="5.0841 0.0000 0.0000 0.0000 5.0841 0.0000 0.0000 0.0000 5.0841" Properties=species:S:1:pos:R:3 pbc="T T T"
Ga 0.0000 0.0000 2.5421
Ga 0.0000 2.5421 0.0000
Ga 2.5421 0.0000 0.0000
Hg 0.0000 0.0000 0.0000
Bi 2.5421 2.5421 2.5421
```

Properties
Its energy of formation is 0.38 eV/atom. As for the excess energy over the best structure of this formula in the dataset: 0 meV per atom.

=====

4.
DFT (GGA-PBEsol) results for GaBiI3 after structural relaxation.

```
5
Lattice="5.5033 0.0000 0.0000 0.0000 5.5033 0.0000 0.0000 0.0000 5.5033" Properties=species:S:1:pos:R:3 pbc="T T T"
Ga 0.0000 0.0000 0.0000
Bi 2.7517 2.7517 2.7517
I 0.0000 0.0000 2.7517
I 0.0000 2.7517 0.0000
I 2.7517 0.0000 0.0000
```

Properties
As for the excess energy over the best structure of this formula in the dataset: 108 meV per atom. Its uncorrected formation energy is 0.0963 eV per atom.

=====

5.
DFT (GGA-PBEsol) results for GaBiI3 after structural relaxation.

```
5
Lattice="6.1324 0.0000 0.0000 0.0000 6.1324 0.0000 0.0000 0.0000 6.1324" Properties=species:S:1:pos:R:3 pbc="T T T"
Ga 0.0000 0.0000 0.0000
Bi 3.0662 3.0662 3.0662
I 0.0000 3.0662 3.0662
I 3.0662 0.0000 3.0662
I 3.0662 3.0662 0.0000
```

Properties
As for the excess energy over the best structure of this formula in the dataset: 0 meV per atom. Its uncorrected formation energy is -0.0116 eV per atom.

=====

6.
DFT (GGA-PBEsol) results for GaBiI2N after structural relaxation.

```
5
Lattice="5.8961 0.0000 0.0000 0.0000 5.8961 0.0000 0.0000 0.0000 3.5686" Properties=species:S:1:pos:R:3 pbc="T T T"
Ga 0.0000 0.0000 0.0000
Bi 2.9481 2.9481 1.7843
I 0.0000 2.9481 0.0000
I 2.9481 0.0000 0.0000
N 0.0000 0.0000 1.7843
```

Properties
Its uncorrected formation energy is 0.3828 eV per atom.

=====

7.
DFT (GGA-PBEsol) results for Ga2NiBiI after structural relaxation.

```
5
Lattice="5.6372 0.0000 0.0000 0.0000 5.6372 0.0000 0.0000 0.0000 5.8383" Properties=species:S:1:pos:R:3 pbc="T T T"
Ga 0.0000 2.8186 0.0000
Ga 2.8186 0.0000 0.0000
Ni 0.0000 0.0000 2.9191
Bi 2.8186 2.8186 2.9191
I 2.8186 2.8186 0.0000
```

Properties
Its uncorrected formation energy is 1.4148 eV per atom.

=====

8.
DFT (GGA-PBEsol) results for Ga2BiPtI after structural relaxation.

```
5
Lattice="5.4252 0.0000 0.0000 0.0000 5.4252 0.0000 0.0000 0.0000 5.8287" Properties=species:S:1:pos:R:3 pbc="T T T"
Ga 0.0000 2.7126 0.0000
Ga 2.7126 0.0000 0.0000
Bi 0.0000 0.0000 0.0000
Pt 2.7126 2.7126 2.9144
I 0.0000 0.0000 2.9144
```

Properties
Its uncorrected formation energy is 1.2148 eV per atom.